## Na9Cd4Hg (PBE-GGA)

Data for a geometry-optimized Na9Cd4Hg structure.

```
Na9Cd4Hg
1.0
9.8983 0.0000 0.0000
-4.9491 8.5722 0.0000
0.0000 0.0000 9.7768
Na Cd Hg
18 8 2
direct
0.0758 0.5379 0.2500 Na
0.1929 0.3859 0.5536 Na
0.1929 0.3859 0.9464 Na
0.1929 0.8071 0.5536 Na
0.1929 0.8071 0.9464 Na
0.3859 0.1929 0.0536 Na
0.3859 0.1929 0.4464 Na
0.4621 0.5379 0.2500 Na
0.4621 0.9242 0.2500 Na
0.5379 0.0758 0.7500 Na
0.5379 0.4621 0.7500 Na
0.6141 0.8071 0.5536 Na
0.6141 0.8071 0.9464 Na
0.8071 0.1929 0.0536 Na
0.8071 0.1929 0.4464 Na
0.8071 0.6141 0.0536 Na
0.8071 0.6141 0.4464 Na
0.9242 0.4621 0.7500 Na
0.0000 0.0000 0.0000 Cd
0.0000 0.0000 0.5000 Cd
0.1110 0.2221 0.2500 Cd
0.1110 0.8890 0.2500 Cd
0.2221 0.1110 0.7500 Cd
0.7779 0.8890 0.2500 Cd
0.8890 0.1110 0.7500 Cd
0.8890 0.7779 0.7500 Cd
0.3333 0.6667 0.7500 Hg
0.6667 0.3333 0.2500 Hg
```

Calculated values
- Space group: No. 194
- ΔH_f (0 K): -0.097 eV/atom
- Volume: 829.6 Å³ per cell
- DOS(E_F): 14.102 states/eV/cell
- Crystal system: hexagonal

---

## NiGeBi2 (PBE-GGA)

Data for a geometry-optimized NiGeBi2 structure.

```
NiGeBi2
1.0
-3.0876 3.0876 6.2235
3.0876 -3.0876 6.2235
3.0876 3.0876 -6.2235
Ni Ge Bi
2 2 4
direct
0.0000 0.0000 0.0000 Ni
0.7500 0.2500 0.5000 Ni
0.2500 0.7500 0.5000 Ge
0.5000 0.5000 0.0000 Ge
0.0862 0.6250 0.9612 Bi
0.3750 0.3362 0.4612 Bi
0.6637 0.1250 0.0388 Bi
0.8750 0.9138 0.5387 Bi
```

Calculated values
- Space group: No. 122
- ΔH_f (0 K): 0.254 eV/atom
- Volume: 237.3 Å³ per cell
- DOS(E_F): 3.843 states/eV/cell
- Crystal system: tetragonal

---

## Al2SeN (PBE-GGA)

Data for a geometry-optimized Al2SeN structure.

```
Al2SeN
1.0
-2.5335 2.5335 5.0150
2.5335 -2.5335 5.0150
2.5335 2.5335 -5.0150
Al Se N
4 2 2
direct
0.0238 0.6250 0.8988 Al
0.3750 0.2738 0.3988 Al
0.7262 0.1250 0.1012 Al
0.8750 0.9762 0.6012 Al
0.2500 0.7500 0.5000 Se
0.5000 0.5000 0.0000 Se
0.0000 0.0000 0.0000 N
0.7500 0.2500 0.5000 N
```

Calculated values
- Space group: No. 122
- Volume: 128.8 Å³ per cell
- Uncorrected energy: -0.4015 Ry per atom
- DOS(E_F): 3.998 states/eV/cell
- Crystal system: tetragonal

---

## KMgNpO6 (PBE-GGA)

Data for a geometry-optimized KMgNpO6 structure.

```
KMgNpO6
1.0
5.4700 0.0000 0.0000
-2.7350 4.7372 0.0000
0.0000 0.0000 11.8478
K Mg Np O
2 2 2 12
direct
0.0000 0.0000 0.0000 K
0.0000 0.0000 0.5000 K
0.3333 0.6667 0.2500 Mg
0.6667 0.3333 0.7500 Mg
0.3333 0.6667 0.7500 Np
0.6667 0.3333 0.2500 Np
0.0185 0.3836 0.6588 O
0.0185 0.6349 0.8412 O
0.3651 0.3836 0.8412 O
0.3651 0.9815 0.6588 O
0.3836 0.0185 0.1588 O
0.3836 0.3651 0.3412 O
0.6164 0.6349 0.6588 O
0.6164 0.9815 0.8412 O
0.6349 0.0185 0.3412 O
0.6349 0.6164 0.1588 O
0.9815 0.3651 0.1588 O
0.9815 0.6164 0.3412 O
```

Calculated values
- Space group: No. 163
- Volume: 307.0 Å³ per cell
- Uncorrected energy: -0.5163 Ry per atom
- DOS(E_F): 7.029 states/eV/cell
- Crystal system: trigonal